{
  "formula": "GaSiRh2",
  "functional": "PBE",
  "state": "optimized geometry",
  "lattice": [[5.568, 0.000, 0.000], [0.000, 5.568, 0.000], [0.000, 0.000, 10.255]],
  "species": ["Ga", "Ga", "Ga", "Ga", "Si", "Si", "Si", "Si", "Rh", "Rh", "Rh", "Rh", "Rh", "Rh", "Rh", "Rh"],
  "fractional_positions": [[0.000, 0.000, 0.000], [0.000, 0.500, 0.250], [0.500, 0.000, 0.750], [0.500, 0.500, 0.500], [0.000, 0.000, 0.500], [0.000, 0.500, 0.750], [0.500, 0.000, 0.250], [0.500, 0.500, 0.000], [0.226, 0.250, 0.625], [0.250, 0.726, 0.875], [0.250, 0.774, 0.375], [0.274, 0.250, 0.125], [0.726, 0.750, 0.125], [0.750, 0.226, 0.375], [0.750, 0.274, 0.875], [0.774, 0.750, 0.625]],
  "dft_energy_ev_per_cell": -93.36,
  "n_ef_per_ev_fu": 2.73,
  "crystal_system": "tetragonal"
}


{
  "formula": "GaSi2Rh2",
  "functional": "PBE",
  "state": "optimized geometry",
  "lattice": [[7.293, 0.000, 0.000], [0.000, 7.293, 0.000], [0.000, 0.000, 2.743]],
  "species": ["Ga", "Ga", "Si", "Si", "Si", "Si", "Rh", "Rh", "Rh", "Rh"],
  "fractional_positions": [[0.000, 0.000, 0.000], [0.500, 0.500, 0.000], [0.145, 0.355, 0.000], [0.355, 0.855, 0.000], [0.645, 0.145, 0.000], [0.855, 0.645, 0.000], [0.145, 0.645, 0.500], [0.355, 0.145, 0.500], [0.645, 0.855, 0.500], [0.855, 0.355, 0.500]],
  "dft_energy_ev_per_cell": -61.22,
  "n_ef_per_ev_fu": 3.43,
  "crystal_system": "tetragonal"
}


{
  "formula": "Ga3SiRh4",
  "functional": "PBE",
  "state": "optimized geometry",
  "lattice": [[5.836, 0.000, 0.000], [0.000, 5.839, 0.000], [-2.896, 0.000, 6.492]],
  "species": ["Ga", "Ga", "Ga", "Ga", "Ga", "Ga", "Si", "Si", "Rh", "Rh", "Rh", "Rh", "Rh", "Rh", "Rh", "Rh"],
  "fractional_positions": [[0.000, 0.000, 0.000], [0.249, 0.000, 0.498], [0.251, 0.500, 0.502], [0.500, 0.500, 0.000], [0.749, 0.500, 0.498], [0.751, 0.000, 0.502], [0.000, 0.500, 0.000], [0.500, 0.000, 0.000], [0.132, 0.250, 0.763], [0.132, 0.750, 0.763], [0.368, 0.250, 0.237], [0.368, 0.750, 0.237], [0.632, 0.250, 0.763], [0.632, 0.750, 0.763], [0.868, 0.250, 0.237], [0.868, 0.750, 0.237]],
  "dft_energy_ev_per_cell": -98.45,
  "n_ef_per_ev_fu": 3.36,
  "crystal_system": "monoclinic"
}


{
  "formula": "GaSi2Rh2",
  "functional": "PBE",
  "state": "optimized geometry",
  "lattice": [[3.564, 0.000, 0.000], [0.000, 3.564, 0.000], [0.000, 0.000, 11.952]],
  "species": ["Ga", "Ga", "Si", "Si", "Si", "Si", "Rh", "Rh", "Rh", "Rh"],
  "fractional_positions": [[0.000, 0.000, 0.000], [0.500, 0.500, 0.500], [0.000, 0.500, 0.250], [0.000, 0.500, 0.750], [0.500, 0.000, 0.250], [0.500, 0.000, 0.750], [0.000, 0.000, 0.382], [0.000, 0.000, 0.618], [0.500, 0.500, 0.118], [0.500, 0.500, 0.882]],
  "dft_energy_ev_per_cell": -62.32,
  "n_ef_per_ev_fu": 1.64,
  "crystal_system": "tetragonal"
}


{
  "formula": "Ga2SiRh8",
  "functional": "PBE",
  "state": "optimized geometry",
  "lattice": [[7.523, -2.020, 0.000], [7.523, 2.020, 0.000], [-1.114, 0.000, 5.231]],
  "species": ["Ga", "Ga", "Si", "Rh", "Rh", "Rh", "Rh", "Rh", "Rh", "Rh", "Rh"],
  "fractional_positions": [[0.186, 0.186, 0.247], [0.814, 0.814, 0.753], [0.500, 0.500, 0.500], [0.019, 0.019, 0.254], [0.211, 0.211, 0.808], [0.350, 0.350, 0.513], [0.404, 0.404, 0.044], [0.596, 0.596, 0.956], [0.650, 0.650, 0.487], [0.789, 0.789, 0.192], [0.981, 0.981, 0.746]],
  "dft_energy_ev_per_cell": -73.69,
  "n_ef_per_ev_fu": 14.08,
  "crystal_system": "monoclinic"
}


{
  "formula": "Ga3SiRh",
  "functional": "PBE",
  "state": "optimized geometry",
  "lattice": [[4.673, 0.000, 0.000], [0.000, 4.673, 0.000], [0.000, 0.000, 4.673]],
  "species": ["Ga", "Ga", "Ga", "Si", "Rh"],
  "fractional_positions": [[0.000, 0.000, 0.500], [0.000, 0.500, 0.000], [0.500, 0.000, 0.000], [0.000, 0.000, 0.000], [0.500, 0.500, 0.500]],
  "n_ef_per_ev_fu": 3.82,
  "crystal_system": "cubic",
  "e_above_lowest_polymorph_ev_per_atom": 0.491
}


{
  "formula": "GaSi3Rh",
  "functional": "PBE",
  "state": "optimized geometry",
  "lattice": [[4.646, 0.000, 0.000], [0.000, 4.646, 0.000], [0.000, 0.000, 4.646]],
  "species": ["Ga", "Si", "Si", "Si", "Rh"],
  "fractional_positions": [[0.000, 0.000, 0.000], [0.000, 0.500, 0.500], [0.500, 0.000, 0.500], [0.500, 0.500, 0.000], [0.500, 0.500, 0.500]],
  "n_ef_per_ev_fu": 2.71,
  "crystal_system": "cubic",
  "e_above_lowest_polymorph_ev_per_atom": 0.000
}


{
  "formula": "GaSi2Rh",
  "functional": "PBE",
  "state": "optimized geometry",
  "lattice": [[5.461, 0.000, 0.000], [0.000, 5.461, 0.000], [0.000, 0.000, 11.238]],
  "species": ["Ga", "Ga", "Ga", "Ga", "Si", "Si", "Si", "Si", "Si", "Si", "Si", "Si", "Rh", "Rh", "Rh", "Rh"],
  "fractional_positions": [[0.000, 0.000, 0.000], [0.000, 0.500, 0.250], [0.500, 0.000, 0.750], [0.500, 0.500, 0.500], [0.220, 0.250, 0.625], [0.250, 0.720, 0.875], [0.250, 0.780, 0.375], [0.280, 0.250, 0.125], [0.720, 0.750, 0.125], [0.750, 0.220, 0.375], [0.750, 0.280, 0.875], [0.780, 0.750, 0.625], [0.000, 0.000, 0.500], [0.000, 0.500, 0.750], [0.500, 0.000, 0.250], [0.500, 0.500, 0.000]],
  "dft_energy_ev_per_cell": -83.36,
  "n_ef_per_ev_fu": 1.90,
  "crystal_system": "tetragonal"
}


{
  "formula": "GaSiRh2",
  "functional": "PBE",
  "state": "optimized geometry",
  "lattice": [[4.090, 0.000, 0.000], [0.000, 4.090, 0.000], [0.000, 0.000, 3.251]],
  "species": ["Ga", "Si", "Rh", "Rh"],
  "fractional_positions": [[0.000, 0.000, 0.000], [0.500, 0.500, 0.000], [0.000, 0.500, 0.500], [0.500, 0.000, 0.500]],
  "dft_energy_ev_per_cell": -25.66,
  "n_ef_per_ev_fu": 0.87,
  "crystal_system": "tetragonal"
}


{
  "formula": "GaSiRh2",
  "functional": "PBE",
  "state": "optimized geometry",
  "lattice": [[3.719, 0.000, 0.000], [-1.859, 3.221, 0.000], [0.000, 0.000, 15.309]],
  "species": ["Ga", "Ga", "Ga", "Si", "Si", "Si", "Rh", "Rh", "Rh", "Rh", "Rh", "Rh"],
  "fractional_positions": [[0.000, 0.000, 0.000], [0.333, 0.667, 0.667], [0.667, 0.333, 0.333], [0.000, 0.000, 0.828], [0.333, 0.667, 0.495], [0.667, 0.333, 0.161], [0.000, 0.000, 0.234], [0.000, 0.000, 0.430], [0.333, 0.667, 0.096], [0.333, 0.667, 0.901], [0.667, 0.333, 0.567], [0.667, 0.333, 0.763]],
  "dft_energy_ev_per_cell": -76.96,
  "n_ef_per_ev_fu": 1.45,
  "crystal_system": "trigonal"
}


{
  "formula": "Ga3SiRh",
  "functional": "PBE",
  "state": "optimized geometry",
  "lattice": [[4.747, 0.000, 0.000], [0.000, 4.747, 0.000], [0.000, 0.000, 4.747]],
  "species": ["Ga", "Ga", "Ga", "Si", "Rh"],
  "fractional_positions": [[0.000, 0.000, 0.500], [0.000, 0.500, 0.000], [0.500, 0.000, 0.000], [0.500, 0.500, 0.500], [0.000, 0.000, 0.000]],
  "n_ef_per_ev_fu": 3.69,
  "crystal_system": "cubic",
  "e_above_lowest_polymorph_ev_per_atom": 0.000
}


{
  "formula": "GaSiRh4",
  "functional": "PBE",
  "state": "optimized geometry",
  "lattice": [[7.005, 0.000, 0.000], [0.000, 4.063, 0.000], [-2.358, 0.000, 6.507]],
  "species": ["Ga", "Ga", "Si", "Si", "Rh", "Rh", "Rh", "Rh", "Rh", "Rh", "Rh", "Rh"],
  "fractional_positions": [[0.000, 0.000, 0.000], [0.500, 0.500, 0.000], [0.000, 0.500, 0.500], [0.500, 0.000, 0.500], [0.121, 0.500, 0.865], [0.129, 0.000, 0.387], [0.371, 0.500, 0.613], [0.379, 0.000, 0.135], [0.621, 0.000, 0.865], [0.629, 0.500, 0.387], [0.871, 0.000, 0.613], [0.879, 0.500, 0.135]],
  "dft_energy_ev_per_cell": -80.86,
  "n_ef_per_ev_fu": 6.26,
  "crystal_system": "monoclinic"
}